Compound: CeSm2PaAs4
Source: Alexandria
Functional: PBE
Structure: optimized geometry

Computed properties:
calculated total energy: -54.6 eV for the cell shown
DFT formation energy: -1.388 eV/atom
space-group type: P2/m, No. 10

Cell lengths 7.232, 4.182, 7.244 Å; angles 90.00, 109.46, 90.00 degrees
Atoms (fractional coordinates):
1 Ce 0.000 0.000 0.000
2 Sm 0.500 0.000 0.500
3 Sm 0.500 0.500 0.000
4 Pa 0.000 0.500 0.500
5 As 0.242 0.000 0.742
6 As 0.244 0.500 0.254
7 As 0.756 0.500 0.746
8 As 0.758 0.000 0.258

Compound: Nd14ScHg
Source: Alexandria
Functional: PBE
Structure: optimized geometry

Computed properties:
calculated total energy: -73.7 eV for the cell shown
DFT formation energy: -0.022 eV/atom
space-group type: Amm2, No. 38

Cell lengths 10.294, 7.192, 7.192 Å; angles 89.95, 90.00, 90.00 degrees
Atoms (fractional coordinates):
1 Nd 0.000 0.000 0.000
2 Nd 0.000 0.006 0.483
3 Nd 0.000 0.483 0.006
4 Nd 0.000 0.493 0.493
5 Nd 0.239 0.749 0.749
6 Nd 0.259 0.243 0.744
7 Nd 0.259 0.744 0.243
8 Nd 0.275 0.247 0.247
9 Nd 0.500 0.508 0.959
10 Nd 0.500 0.959 0.508
11 Nd 0.725 0.247 0.247
12 Nd 0.741 0.243 0.744
13 Nd 0.741 0.744 0.243
14 Nd 0.761 0.749 0.749
15 Sc 0.500 0.991 0.991
16 Hg 0.500 0.492 0.492

Compound: Pr2TiAg
Source: Alexandria
Functional: PBE
Structure: optimized geometry

Computed properties:
calculated total energy: -20.0 eV for the cell shown
DFT formation energy: 0.068 eV/atom
space-group type: P4/mmm, No. 123

Cell lengths 3.577, 3.577, 8.354 Å; angles 90.00, 90.00, 90.00 degrees
Atoms (fractional coordinates):
1 Pr 0.000 0.000 0.250
2 Pr 0.000 0.000 0.750
3 Ti 0.500 0.500 0.000
4 Ag 0.500 0.500 0.500

Compound: HoNbAs2Rh5
Source: Alexandria
Functional: PBE
Structure: optimized geometry

Computed properties:
calculated total energy: -60.5 eV for the cell shown
DFT formation energy: 0.024 eV/atom
space-group type: P4/mmm, No. 123

Cell lengths 3.969, 3.969, 12.145 Å; angles 90.00, 90.00, 90.00 degrees
Atoms (fractional coordinates):
1 Ho 0.000 0.000 0.000
2 Nb 0.500 0.500 0.500
3 As 0.500 0.500 0.289
4 As 0.500 0.500 0.711
5 Rh 0.000 0.500 0.172
6 Rh 0.000 0.500 0.828
7 Rh 0.500 0.000 0.172
8 Rh 0.500 0.000 0.828
9 Rh 0.500 0.500 0.000

Compound: YPBr2
Source: Alexandria
Functional: PBE
Structure: optimized geometry

Computed properties:
calculated total energy: -18.4 eV for the cell shown
space-group type: Imm2, No. 44

Cell lengths 7.610, 7.610, 7.610 Å; angles 149.78, 141.43, 49.77 degrees
Atoms (fractional coordinates):
1 Y 0.000 0.000 0.000
2 P 0.867 0.367 0.500
3 Br 0.151 0.651 0.500
4 Br 0.431 0.431 0.000